Material: Mg2ZnSb
Method: DFT, PBE-GGA
State: optimized geometry

Calculated values
- raw total energy (eV/atom) = -2.247
- spin magnetization (Bohr magnetons per cell) = 0.00
- space group = I-4m2

a = 5.677 Å, b = 5.677 Å, c = 5.677 Å
α = 136.39°, β = 136.39°, γ = 63.38°
Fractional positions:
Mg (0.000, 0.000, 0.000)
Mg (0.750, 0.250, 0.500)
Zn (0.500, 0.500, 0.000)
Sb (0.250, 0.750, 0.500)


Material: CsRbI
Method: DFT, PBE-GGA
State: optimized geometry

Calculated values
- raw total energy (eV/atom) = -1.980
- spin magnetization (Bohr magnetons per cell) = 0.64
- space group = F-43m

a = 6.527 Å, b = 6.527 Å, c = 6.527 Å
α = 60.00°, β = 60.00°, γ = 60.00°
Fractional positions:
Cs (0.000, 0.000, 0.000)
Rb (0.500, 0.500, 0.500)
I (0.250, 0.250, 0.250)


Material: Er5In2RuRh2
Method: DFT, PBE-GGA
State: optimized geometry

Calculated values
- energy of formation (eV/atom) = -0.583
- spin magnetization (Bohr magnetons per cell) = 0.00
- space group = P4/mbm

a = 11.563 Å, b = 11.563 Å, c = 3.470 Å
α = 90.00°, β = 90.00°, γ = 90.00°
Fractional positions:
Er (0.000, 0.500, 0.000)
Er (0.064, 0.194, 0.000)
Er (0.194, 0.936, 0.000)
Er (0.306, 0.436, 0.000)
Er (0.436, 0.694, 0.000)
Er (0.500, 0.000, 0.000)
Er (0.564, 0.306, 0.000)
Er (0.694, 0.564, 0.000)
Er (0.806, 0.064, 0.000)
Er (0.936, 0.806, 0.000)
In (0.179, 0.679, 0.500)
In (0.321, 0.179, 0.500)
In (0.679, 0.821, 0.500)
In (0.821, 0.321, 0.500)
Ru (0.000, 0.000, 0.500)
Ru (0.500, 0.500, 0.500)
Rh (0.135, 0.365, 0.500)
Rh (0.365, 0.865, 0.500)
Rh (0.635, 0.135, 0.500)
Rh (0.865, 0.635, 0.500)